{"formula": "K2Rb5Pb4", "functional": "PBE", "state": "optimized geometry", "space_group": "C2/m", "formation_enthalpy_0k_mev_per_atom": -18.7, "energy_ev_per_atom": -2.0066, "lattice": [[8.548, -3.781, 0.000], [8.548, 3.781, 0.000], [-3.851, 0.000, 9.569]], "species": ["K", "K", "Rb", "Rb", "Rb", "Rb", "Rb", "Pb", "Pb", "Pb", "Pb"], "fractional_positions": [[0.239, 0.239, 0.377], [0.761, 0.761, 0.623], [0.000, 0.000, 0.500], [0.146, 0.638, 0.078], [0.362, 0.854, 0.922], [0.638, 0.146, 0.078], [0.854, 0.362, 0.922], [0.233, 0.233, 0.745], [0.403, 0.403, 0.745], [0.597, 0.597, 0.255], [0.767, 0.767, 0.255]]}

***

{"formula": "TlOF3", "functional": "PBE", "state": "optimized geometry", "space_group": "Pm-3m", "polymorph_energy_mev_per_atom": 24, "energy_ev_per_atom": -3.3562, "raw_formation_energy_ev_per_atom": -0.768, "lattice": [[4.389, 0.000, 0.000], [0.000, 4.389, 0.000], [0.000, 0.000, 4.389]], "species": ["Tl", "O", "F", "F", "F"], "fractional_positions": [[0.000, 0.000, 0.000], [0.500, 0.500, 0.500], [0.000, 0.000, 0.500], [0.000, 0.500, 0.000], [0.500, 0.000, 0.000]]}

***

{"formula": "Ac4GaHg3", "functional": "PBE", "state": "optimized geometry", "space_group": "C2/m", "formation_enthalpy_0k_mev_per_atom": -460.0, "energy_ev_per_atom": -3.0057, "lattice": [[8.554, -2.834, 0.000], [8.554, 2.834, 0.000], [-1.871, 0.000, 5.351]], "species": ["Ac", "Ac", "Ac", "Ac", "Ga", "Hg", "Hg", "Hg"], "fractional_positions": [[0.120, 0.120, 0.120], [0.380, 0.380, 0.380], [0.620, 0.620, 0.620], [0.880, 0.880, 0.880], [0.000, 0.000, 0.500], [0.250, 0.250, 0.750], [0.500, 0.500, 0.000], [0.750, 0.750, 0.250]]}

***

{"formula": "CsRbTe2Os", "functional": "PBE", "state": "optimized geometry", "space_group": "P4/mmm", "energy_ev_per_atom": -2.3588, "raw_formation_energy_ev_per_atom": 1.508, "lattice": [[6.432, 0.000, 0.000], [0.000, 6.432, 0.000], [0.000, 0.000, 6.828]], "species": ["Cs", "Rb", "Te", "Te", "Os"], "fractional_positions": [[0.000, 0.000, 0.000], [0.000, 0.000, 0.500], [0.000, 0.500, 0.500], [0.500, 0.000, 0.500], [0.500, 0.500, 0.000]]}

***

{"formula": "Li12Mg7Hg", "functional": "PBE", "state": "optimized geometry", "space_group": "Im-3", "polymorph_energy_mev_per_atom": 299, "formation_enthalpy_0k_mev_per_atom": 269.8, "energy_ev_per_atom": -1.4517, "lattice": [[-5.198, 5.198, 5.198], [5.198, -5.198, 5.198], [5.198, 5.198, -5.198]], "species": ["Li", "Li", "Li", "Li", "Li", "Li", "Li", "Li", "Li", "Li", "Li", "Li", "Mg", "Mg", "Mg", "Mg", "Mg", "Mg", "Mg", "Hg"], "fractional_positions": [[0.107, 0.359, 0.748], [0.252, 0.612, 0.359], [0.252, 0.893, 0.641], [0.359, 0.252, 0.612], [0.359, 0.748, 0.107], [0.388, 0.641, 0.748], [0.612, 0.359, 0.252], [0.641, 0.252, 0.893], [0.641, 0.748, 0.388], [0.748, 0.107, 0.359], [0.748, 0.388, 0.641], [0.893, 0.641, 0.252], [0.000, 0.000, 0.500], [0.000, 0.500, 0.000], [0.000, 0.500, 0.500], [0.500, 0.000, 0.000], [0.500, 0.000, 0.500], [0.500, 0.500, 0.000], [0.500, 0.500, 0.500], [0.000, 0.000, 0.000]]}

***

{"formula": "Nd2Ga6Cu3", "functional": "PBE", "state": "optimized geometry", "space_group": "P-62m", "formation_enthalpy_0k_mev_per_atom": -411.8, "energy_ev_per_atom": -4.0468, "lattice": [[7.648, 0.000, 0.000], [-3.824, 6.623, 0.000], [0.000, 0.000, 4.089]], "species": ["Nd", "Nd", "Ga", "Ga", "Ga", "Ga", "Ga", "Ga", "Cu", "Cu", "Cu"], "fractional_positions": [[0.333, 0.667, 0.000], [0.667, 0.333, 0.000], [0.000, 0.194, 0.000], [0.000, 0.685, 0.500], [0.194, 0.000, 0.000], [0.315, 0.315, 0.500], [0.685, 0.000, 0.500], [0.806, 0.806, 0.000], [0.000, 0.363, 0.500], [0.363, 0.000, 0.500], [0.637, 0.637, 0.500]]}

***

{"formula": "K2LiSc", "functional": "PBE", "state": "optimized geometry", "space_group": "Cm", "formation_enthalpy_0k_mev_per_atom": 493.8, "energy_ev_per_atom": -2.1163, "lattice": [[4.994, -1.723, 0.000], [4.994, 1.723, 0.000], [-0.545, 0.000, 9.931]], "species": ["K", "K", "Li", "Sc"], "fractional_positions": [[0.000, 0.000, 0.000], [0.234, 0.234, 0.636], [0.749, 0.749, 0.245], [0.479, 0.479, 0.370]]}

***

{"formula": "Al2ReHgN", "functional": "PBE", "state": "optimized geometry", "space_group": "P4/mmm", "energy_ev_per_atom": -5.1321, "raw_formation_energy_ev_per_atom": 0.580, "lattice": [[3.933, 0.000, 0.000], [0.000, 3.933, 0.000], [0.000, 0.000, 4.689]], "species": ["Al", "Al", "Re", "Hg", "N"], "fractional_positions": [[0.000, 0.500, 0.000], [0.500, 0.000, 0.000], [0.000, 0.000, 0.500], [0.500, 0.500, 0.500], [0.500, 0.500, 0.000]]}